Density functional theory data (PBEsol) for a geometry-optimized PtPb structure.

* total energy: -0.413 Ry/atom

a b c (Å): 3.9278 5.6276 7.5580
angles (deg): 90.00 90.00 90.00
Atoms (fractional coordinates):
Pb  0.2500  0.1306  0.1707
Pb  0.7500  0.6306  0.3293
Pb  0.2500  0.3694  0.6707
Pb  0.7500  0.8694  0.8293
Pt  0.2500  0.6498  0.0617
Pt  0.7500  0.1498  0.4383
Pt  0.2500  0.8502  0.5617
Pt  0.7500  0.3502  0.9383

---

Density functional theory data (PBEsol) for a geometry-optimized PtPb structure.

* total energy: -0.418 Ry/atom

a b c (Å): 4.2854 4.2854 5.4696
angles (deg): 90.00 90.00 120.00
Atoms (fractional coordinates):
Pb  0.3333  0.6667  0.2500
Pb  0.6667  0.3333  0.7500
Pt  0.0000  0.0000  0.0000
Pt  0.0000  0.0000  0.5000

---

Density functional theory data (PBEsol) for a geometry-optimized Pt3Pb structure.

* total energy: -0.463 Ry/atom

a b c (Å): 4.0633 4.0633 4.0633
angles (deg): 90.00 90.00 90.00
Atoms (fractional coordinates):
Pb  0.0000  0.0000  0.0000
Pt  0.0000  0.5000  0.5000
Pt  0.5000  0.0000  0.5000
Pt  0.5000  0.5000  0.0000

---

Density functional theory data (PBEsol) for a geometry-optimized RbPt2Pb2 structure.

* total energy: -0.345 Ry/atom

a b c (Å): 4.9161 4.9161 6.6592
angles (deg): 111.66 111.66 90.00
Atoms (fractional coordinates):
Pb  0.3525  0.3525  0.7049
Pb  0.6475  0.6475  0.2951
Rb  0.0000  0.0000  0.0000
Pt  0.2500  0.7500  0.5000
Pt  0.7500  0.2500  0.5000

---

Density functional theory data (PBEsol) for a geometry-optimized RePtPb2 structure.

* E above lowest polymorph: 38 meV per atom

a b c (Å): 3.1866 3.1866 9.0291
angles (deg): 79.84 79.84 60.00
Atoms (fractional coordinates):
Pb  0.2509  0.2509  0.2473
Pb  0.7491  0.7491  0.7527
Pt  0.5000  0.5000  0.5000
Re  0.0000  0.0000  0.0000

---

Density functional theory data (PBEsol) for a geometry-optimized RePtPb2 structure.

* E above lowest polymorph: 0 meV per atom

a b c (Å): 3.4491 4.6949 4.6949
angles (deg): 90.07 90.00 90.00
Atoms (fractional coordinates):
Pb  0.0000  0.5000  0.0000
Pb  0.0000  0.0000  0.5000
Pt  0.5000  0.0000  0.0000
Re  0.5000  0.5000  0.5000

---

Density functional theory data (PBEsol) for a geometry-optimized Re2PtPb structure.

* total energy: -0.635 Ry/atom

a b c (Å): 2.9086 2.9086 9.2394
angles (deg): 80.94 80.94 60.00
Atoms (fractional coordinates):
Pb  0.5000  0.5000  0.5000
Pt  0.0000  0.0000  0.0000
Re  0.2556  0.2556  0.2333
Re  0.7444  0.7444  0.7667

---

Density functional theory data (PBEsol) for a geometry-optimized Pt2RhPb structure.

* total energy: -0.470 Ry/atom

a b c (Å): 2.9497 4.6472 5.5553
angles (deg): 114.73 105.40 90.00
Atoms (fractional coordinates):
Pb  0.5000  0.0000  0.0000
Pt  0.7463  0.7463  0.4925
Pt  0.2537  0.2537  0.5075
Rh  0.0000  0.5000  0.0000